First-principles (GGA-PBE) data for an optimized crystal structure of Sr2Co3, as listed in the Open Quantum Materials Database.

Summary:
- VASP energy: -4.87 eV per atom
- Calculated density: 4.7 Mg/m³

Cell: 4.0658 4.0658 8.7688 Å, 90.00 90.00 120.00°
Last column: nearest neighbours and their distance in Å.
Space group P-3m1 (No. 164)
Unique sites:
Sr 0.3333 0.6667 0.2135 (multiplicity 2)  4 Co 2.87-3.19
Co 0.0000 0.0000 0.5000 (multiplicity 1)  6 Co 2.37
Co 0.3333 0.6667 0.5407 (multiplicity 2)  6 Co 2.37-2.45

=====

First-principles (GGA-PBE) data for an optimized crystal structure of Sr3Co, as listed in the Open Quantum Materials Database.

Summary:
- VASP energy: -2.53 eV per atom
- Calculated density: 3.7 Mg/m³

Cell: 8.3862 8.3862 4.7423 Å, 90.00 90.00 120.00°
Last column: nearest neighbours and their distance in Å.
Space group P6_3/mmc (No. 194)
Unique sites:
Sr 0.1923 0.3846 0.2500 (multiplicity 6)  2 Co 3.13
Co 0.3333 0.6667 0.7500 (multiplicity 2)  6 Sr 3.13

=====

First-principles (GGA-PBE) data for an optimized crystal structure of Sr3Co, as listed in the Open Quantum Materials Database.

Summary:
- VASP energy: -2.53 eV per atom
- Calculated density: 3.9 Mg/m³

Cell: 7.8510 7.8510 5.1367 Å, 90.00 90.00 120.00°
Last column: nearest neighbours and their distance in Å.
Space group P6_3/mmc (No. 194)
Unique sites:
Sr 0.1843 0.3686 0.2500 (multiplicity 6)  2 Co 3.27, 6 Sr 3.51-3.59
Co 0.3333 0.6667 0.7500 (multiplicity 2)  6 Sr 3.27

=====

First-principles (GGA-PBE) data for an optimized crystal structure of Sr3Co, as listed in the Open Quantum Materials Database.

Summary:
- VASP energy: -2.48 eV per atom
- Calculated density: 3.7 Mg/m³

Cell: 5.2540 5.2540 5.2540 Å, 90.00 90.00 90.00°
Last column: nearest neighbours and their distance in Å.
Space group Pm-3m (No. 221)
Unique sites:
Sr 0.0000 0.0000 0.5000 (multiplicity 3)  4 Co 3.72, 8 Sr 3.72
Co 0.5000 0.5000 0.5000 (multiplicity 1)  12 Sr 3.72

=====

First-principles (GGA-PBE) data for an optimized crystal structure of SrTaCo, as listed in the Open Quantum Materials Database.

Summary:
- VASP energy: -4.59 eV per atom
- Calculated density: 8.0 Mg/m³

Cell: 6.4798 6.4798 6.4798 Å, 90.00 90.00 90.00°
Last column: nearest neighbours and their distance in Å.
Space group F-43m (No. 216)
Unique sites:
Sr 0.0000 0.0000 0.0000 (multiplicity 4)  4 Ta 2.81, 4 Co 2.81
Ta 0.2500 0.2500 0.2500 (multiplicity 4)  4 Sr 2.81
Co 0.2500 0.2500 0.7500 (multiplicity 4)  4 Sr 2.81

=====

First-principles (GGA-PBE) data for an optimized crystal structure of SrTaCo, as listed in the Open Quantum Materials Database.

Summary:
- VASP energy: -6.82 eV per atom
- Calculated density: 7.5 Mg/m³

Cell: 4.3394 4.3394 7.6504 Å, 90.00 90.00 90.00°
Last column: nearest neighbours and their distance in Å.
Space group P4/nmm (No. 129, origin choice 2)
Unique sites:
Sr 0.2500 0.2500 0.1569 (multiplicity 2)  5 Co 3.39-3.80, 4 Ta 3.41
Ta 0.2500 0.7500 0.5000 (multiplicity 2)  4 Co 2.47
Co 0.2500 0.2500 0.6536 (multiplicity 2)  4 Ta 2.47